Entry 1:
Compound: Tl3CuRh2S6
Source: Alexandria
Functional: PBE-GGA
Structure: relaxed

a = 6.3925 Å, b = 6.3925 Å, c = 7.1912 Å
α = 98.34°, β = 98.34°, γ = 119.93°
Sites, in units of the cell vectors:
S 0.9435 0.6030 0.8275
Rh 0.6665 0.3335 0.0000
S 0.0565 0.3970 0.1725
Tl 0.1673 0.8327 0.5000
Cu 0.0000 0.0000 0.0000
S 0.3970 0.0565 0.1725
Tl 0.5000 0.5000 0.5000
Tl 0.8327 0.1673 0.5000
S 0.7172 0.7172 0.1675
S 0.2828 0.2828 0.8325
S 0.6030 0.9435 0.8275
Rh 0.3335 0.6665 0.0000

Raw total energy in eV per atom: -4.51

Entry 2:
Compound: La2Tm5Sn4
Source: Alexandria
Functional: PBE-GGA
Structure: relaxed

a = 6.5274 Å, b = 7.4426 Å, c = 8.8193 Å
α = 80.66°, β = 68.28°, γ = 63.99°
Sites, in units of the cell vectors:
Sn 0.2343 0.2401 0.2912
Tm 0.0000 0.5000 0.0000
Sn 0.5256 0.2401 0.7088
La 0.8461 0.0000 0.3078
Sn 0.4744 0.7599 0.2912
Tm 0.5000 0.5000 0.0000
Sn 0.7657 0.7599 0.7088
Tm 0.7500 0.5000 0.5000
Tm 0.2500 0.5000 0.5000
Tm 0.5000 0.0000 0.0000
La 0.1539 0.0000 0.6922

ΔH_f (0 K) in eV per atom: -0.365

Entry 3:
Compound: LiFe2Ru
Source: Alexandria
Functional: PBE-GGA
Structure: relaxed

a = 6.5763 Å, b = 6.5763 Å, c = 5.2689 Å
α = 51.39°, β = 51.39°, γ = 90.00°
Site moments in Bohr magnetons follow the coordinates.
Sites, in units of the cell vectors:
Fe 0.8750 0.8672 0.7500  2.74
Fe 0.3750 0.3828 0.7500  2.75
Li 0.5000 0.5000 0.0000  -0.02
Fe 0.6172 0.1250 0.2500  2.77
Li 0.2500 0.7500 0.5000  -0.02
Fe 0.1328 0.6250 0.2500  2.76
Ru 0.7500 0.2500 0.5000  0.90
Ru 0.0000 0.0000 0.0000  0.90

ΔH_f (0 K) in eV per atom: 0.619

Entry 4:
Compound: Mn2VRuN
Source: Alexandria
Functional: PBE-GGA
Structure: relaxed

a = 3.7552 Å, b = 3.7552 Å, c = 3.9293 Å
α = 90.00°, β = 90.00°, γ = 90.00°
Site moments in Bohr magnetons follow the coordinates.
Sites, in units of the cell vectors:
Mn 0.5000 0.0000 0.0000  0.82
Ru 0.5000 0.5000 0.5000  0.14
Mn 0.0000 0.5000 0.0000  0.82
N 0.0000 0.0000 0.0000  -0.01
V 0.0000 0.0000 0.5000  -0.33

Raw total energy in eV per atom: -9.29

Entry 5:
Compound: TlCu2Pt
Source: Alexandria
Functional: PBE-GGA
Structure: relaxed

a = 4.5886 Å, b = 4.5886 Å, c = 5.2634 Å
α = 80.86°, β = 80.86°, γ = 37.24°
Sites, in units of the cell vectors:
Cu 0.9927 0.9927 0.0417
Tl 0.7500 0.7500 0.7500
Pt 0.2500 0.2500 0.2500
Cu 0.5073 0.5073 0.4583

ΔH_f (0 K) in eV per atom: 0.145
ΔE to the lowest computed polymorph in kJ per mole of atoms: 8.5

Entry 6:
Compound: Zr4CoBr5
Source: Alexandria
Functional: PBE-GGA
Structure: relaxed

a = 3.7216 Å, b = 8.1059 Å, c = 8.8520 Å
α = 102.58°, β = 102.13°, γ = 90.00°
Site moments in Bohr magnetons follow the coordinates.
Sites, in units of the cell vectors:
Zr 0.6443 0.0728 0.2886  0.02
Br 0.1644 0.3359 0.3287  0.00
Co 0.5000 0.0000 0.0000  0.21
Br 0.8356 0.6641 0.6713  0.00
Zr 0.3557 0.9272 0.7114  0.02
Br 0.5000 0.5000 0.0000  0.00
Br 0.1707 0.8287 0.3414  0.00
Zr 0.9999 0.7999 0.9997  0.01
Br 0.8293 0.1713 0.6586  0.00
Zr 0.0001 0.2001 0.0003  0.01

Raw total energy in eV per atom: -5.91

Entry 7:
Compound: Ti2SnS
Source: Alexandria
Functional: PBE-GGA
Structure: relaxed

a = 3.4860 Å, b = 3.4860 Å, c = 7.1570 Å
α = 75.90°, β = 75.90°, γ = 60.00°
Sites, in units of the cell vectors:
Ti 0.2727 0.2727 0.1819
Ti 0.7273 0.7273 0.8181
Sn 0.5000 0.5000 0.5000
S 0.0000 0.0000 0.0000

ΔE to the lowest computed polymorph in kJ per mole of atoms: 3.4

Entry 8:
Compound: Tb3Ce2PaAs6
Source: Alexandria
Functional: PBE-GGA
Structure: relaxed

a = 4.1567 Å, b = 8.3056 Å, c = 9.2820 Å
α = 102.77°, β = 102.94°, γ = 90.00°
Site moments in Bohr magnetons follow the coordinates.
Sites, in units of the cell vectors:
Ce 0.1668 0.3350 0.3337  0.61
Ce 0.8332 0.6650 0.6663  0.61
As 0.3357 0.9206 0.6713  -0.01
Pa 0.5000 0.0000 0.0000  0.30
As 0.9986 0.2446 0.9971  -0.01
As 0.0014 0.7554 0.0029  -0.01
Tb 0.8321 0.1668 0.6642  0.01
Tb 0.1679 0.8332 0.3358  0.01
As 0.3342 0.4141 0.6684  -0.01
As 0.6643 0.0794 0.3287  -0.01
As 0.6658 0.5859 0.3316  -0.01
Tb 0.5000 0.5000 0.0000  0.01

ΔH_f (0 K) in eV per atom: -1.422

Entry 9:
Compound: Fe2IrAu2
Source: Alexandria
Functional: PBE-GGA
Structure: relaxed

a = 6.4152 Å, b = 6.4152 Å, c = 3.8337 Å
α = 90.00°, β = 90.00°, γ = 90.00°
Site moments in Bohr magnetons follow the coordinates.
Sites, in units of the cell vectors:
Au 0.8298 0.3298 0.5000  0.10
Au 0.1702 0.6702 0.5000  0.10
Au 0.3298 0.1702 0.5000  0.10
Ir 0.5000 0.5000 0.0000  0.88
Fe 0.8708 0.6292 0.0000  2.89
Fe 0.1292 0.3708 0.0000  2.89
Fe 0.3708 0.8708 0.0000  2.89
Ir 0.0000 0.0000 0.0000  0.88
Au 0.6702 0.8298 0.5000  0.10
Fe 0.6292 0.1292 0.0000  2.89

ΔH_f (0 K) in eV per atom: 0.401

Entry 10:
Compound: K2AgW
Source: Alexandria
Functional: PBE-GGA
Structure: relaxed

a = 2.8978 Å, b = 2.8978 Å, c = 11.4957 Å
α = 90.00°, β = 90.00°, γ = 90.00°
Sites, in units of the cell vectors:
K 0.0000 0.0000 0.5003
W 0.5000 0.5000 0.2500
K 0.0000 0.0000 0.9997
Ag 0.5000 0.5000 0.7500

ΔH_f (0 K) in eV per atom: 1.122
ΔE to the lowest computed polymorph in kJ per mole of atoms: 9.6

Entry 11:
Compound: ZrHgAu2
Source: Alexandria
Functional: PBE-GGA
Structure: relaxed

a = 4.7853 Å, b = 4.7853 Å, c = 4.8369 Å
α = 59.63°, β = 59.63°, γ = 60.81°
Sites, in units of the cell vectors:
Zr 0.2499 0.2499 0.2500
Hg 0.5006 0.5006 0.4994
Au 0.7500 0.7500 0.7501
Au 0.9995 0.9995 0.0004

ΔH_f (0 K) in eV per atom: -0.288

Entry 12:
Compound: LiPm3
Source: Alexandria
Functional: PBE-GGA
Structure: relaxed

a = 4.8971 Å, b = 4.8971 Å, c = 6.2061 Å
α = 113.24°, β = 113.24°, γ = 90.00°
Sites, in units of the cell vectors:
Pm 0.5000 0.5000 0.0000
Pm 0.7500 0.2500 0.5000
Li 0.0000 0.0000 0.0000
Pm 0.2500 0.7500 0.5000

ΔH_f (0 K) in eV per atom: 0.157
ΔE to the lowest computed polymorph in kJ per mole of atoms: 7.7

Number 6 is which compound?
Zr4CoBr5